The following is a DFT calculation (PBE-GGA) of an optimized crystal structure of TlCoCl3.

Computed properties:
* E_tot: -3.745 eV/atom
* total moment: 18.01 Bohr magnetons per cell

```
TlCoCl3
1.0
6.061 -10.498 0.000
6.061 10.498 0.000
0.000 0.000 5.899
Tl Cl Co
6 18 6
direct
0.665 0.000 0.255
0.665 0.665 0.755
0.000 0.335 0.755
0.335 0.000 0.755
0.000 0.665 0.255
0.335 0.335 0.255
0.825 0.333 0.295
0.825 0.492 0.795
0.159 0.000 0.194
0.508 0.175 0.295
0.492 0.825 0.795
0.000 0.159 0.194
0.333 0.825 0.295
0.159 0.159 0.694
0.667 0.175 0.795
0.841 0.841 0.194
0.333 0.508 0.795
0.492 0.667 0.295
0.175 0.508 0.295
0.508 0.333 0.795
0.175 0.667 0.795
0.667 0.492 0.295
0.000 0.841 0.694
0.841 0.000 0.694
0.667 0.333 0.043
0.000 0.000 0.447
0.000 0.000 0.947
0.667 0.333 0.543
0.333 0.667 0.043
0.333 0.667 0.543
```